Record 1
7
Lattice="0.000 4.281 4.281 4.281 0.000 4.281 4.281 4.281 0.000" Properties=species:S:1:pos:R:3 comment="PBE KDyPO4, optimized geometry" final_energy_ev_per_atom=-6.738 space_group="F-43m, No. 216" formation_energy_uncorrected_kcal_per_mol_atoms=-53.45 pbc="T T T"
K 0.000 0.000 0.000
Dy 2.141 2.141 2.141
P 4.281 4.281 4.281
O 3.383 3.383 3.383
O 5.180 5.180 3.383
O 5.180 3.383 5.180
O 3.383 5.180 5.180

=====

Record 2
10
Lattice="0.000 4.394 4.394 4.394 0.000 4.394 4.394 4.394 0.000" Properties=species:S:1:pos:R:3 comment="PBE K2DyPaO6, optimized geometry" final_energy_ev_per_atom=-7.165 space_group="Fm-3m, No. 225" formation_energy_uncorrected_kcal_per_mol_atoms=-59.06 pbc="T T T"
K 2.197 2.197 2.197
K 6.591 6.591 6.591
Dy 0.000 0.000 0.000
Pa 4.394 4.394 4.394
O 4.394 4.394 2.254
O 4.394 2.254 4.394
O 6.534 4.394 4.394
O 2.254 4.394 4.394
O 4.394 6.534 4.394
O 4.394 4.394 6.534

=====

Record 3
8
Lattice="6.130 0.000 0.000 0.000 3.549 0.000 -2.075 0.000 6.290" Properties=species:S:1:pos:R:3 comment="PBE K2DyPbO4, optimized geometry" final_energy_ev_per_atom=-5.730 space_group="P2/m, No. 10" formation_energy_uncorrected_kcal_per_mol_atoms=-44.69 pbc="T T T"
K 0.000 0.000 0.000
K 3.065 1.774 0.000
Dy -1.037 1.774 3.145
Pb 2.028 0.000 3.145
O -0.109 0.000 4.347
O 0.942 1.774 1.913
O 3.113 1.774 4.377
O 4.164 0.000 1.944

=====

Record 4
12
Lattice="2.929 -5.147 0.000 2.929 5.147 0.000 -1.872 0.000 6.224" Properties=species:S:1:pos:R:3 comment="PBE K3Dy2PdO6, optimized geometry" final_energy_ev_per_atom=-6.008 space_group="C2/m, No. 12" formation_energy_uncorrected_kcal_per_mol_atoms=-47.38 pbc="T T T"
K 0.000 0.000 0.000
K 2.929 1.644 0.000
K 2.929 -1.644 0.000
Dy 1.993 3.402 3.112
Dy 1.993 -3.402 3.112
Pd 1.993 0.000 3.112
O 0.991 1.744 1.890
O 0.177 0.000 4.198
O 0.991 -1.744 1.890
O 2.996 1.744 4.335
O 3.809 0.000 2.026
O 2.996 -1.744 4.335